Material: SrMg5Hg7
Method: DFT, GGA-PBE
State: optimized geometry

Unit cell a=7.7092 b=7.7092 c=7.7092 alpha=132.47 beta=97.10 gamma=101.60
With the nearest neighbours (Å) after each atom.
Sites, in units of the cell vectors:
Sr (0.0000, 0.0000, 0.0000)  4 Hg 3.26-3.43
Mg (0.2454, 0.7454, 0.5000)  6 Hg 2.95-3.23, 4 Mg 3.06
Mg (0.5114, 0.0103, 0.0122)  7 Hg 2.90-3.13, 3 Mg 3.04-3.18
Mg (0.5114, 0.4992, 0.5011)  7 Hg 2.90-3.13, 3 Mg 3.04-3.18
Mg (0.9981, 0.0103, 0.4989)  7 Hg 2.90-3.13, 3 Mg 3.04-3.18
Mg (0.9981, 0.4992, 0.9878)  7 Hg 2.90-3.13, 3 Mg 3.04-3.18
Hg (0.2084, 0.5154, 0.6931)  5 Mg 2.90-3.00, 1 Hg 3.09
Hg (0.3321, 0.9956, 0.3365)  5 Mg 2.95-3.06, 1 Hg 3.16
Hg (0.3349, 0.3349, 0.0000)  1 Hg 3.11, 6 Mg 3.13-3.23, 1 Sr 3.26
Hg (0.6536, 0.6536, 0.0000)  5 Hg 3.11-3.41, 4 Mg 3.11, 1 Sr 3.38
Hg (0.6591, 0.9956, 0.6635)  5 Mg 2.95-3.06, 1 Hg 3.16
Hg (0.7712, 0.2712, 0.5000)  4 Mg 2.92, 4 Hg 3.09-3.16
Hg (0.8223, 0.5154, 0.3069)  5 Mg 2.90-3.00, 1 Hg 3.09

Computed properties:
Fermi-level density of states (states/eV per atom): 0.4156
VASP energy (eV per atom): -1.15
Formation energy from the elements (eV per atom): -0.247
Volume (Å³/atom): 23.8